Entry 1:
TlCd2As GGA-PBE relaxed; Fermi-level density of states = 0.20 states/eV/atom; crystal system = trigonal; total energy = -2.20 eV/atom; formation energy from the elements = 0.01 eV per atom; space group = No. 160
1.0
2.209 1.275 6.401
-2.209 1.275 6.401
0.000 -2.551 6.401
Tl Cd As
1 2 1
direct
0.000 0.000 0.000
0.568 0.568 0.568
0.770 0.770 0.770
0.166 0.166 0.166

Entry 2:
ReHg3S GGA-PBE relaxed; uncorrected formation energy = 1.190 eV per atom; Fermi-level density of states = 0.90 states/eV/atom; crystal system = cubic; total energy = -2.31 eV/atom; space group = No. 221
1.0
5.344 0.000 0.000
0.000 5.344 0.000
0.000 0.000 5.344
Re Hg S
1 3 1
direct
0.000 0.000 0.000
0.000 0.000 0.500
0.000 0.500 0.000
0.500 0.000 0.000
0.500 0.500 0.500

Entry 3:
HOsO2 GGA-PBE relaxed; Fermi-level density of states = 0.26 states/eV/atom; crystal system = cubic; total energy = -5.96 eV/atom; space group = No. 225
1.0
0.000 2.478 2.478
2.478 0.000 2.478
2.478 2.478 0.000
H Os O
1 1 2
direct
0.000 0.000 0.000
0.500 0.500 0.500
0.250 0.250 0.250
0.750 0.750 0.750

Entry 4:
CeCo9Ge4 GGA-PBE relaxed; Fermi-level density of states = 1.34 states/eV/atom; crystal system = tetragonal; total energy = -6.58 eV/atom; formation energy from the elements = -0.27 eV per atom; space group = No. 140
1.0
-3.937 3.937 5.904
3.937 -3.937 5.904
3.937 3.937 -5.904
Ce Co Ge
2 18 8
direct
0.250 0.250 0.000
0.750 0.750 0.000
0.000 0.500 0.500
0.054 0.554 0.251
0.066 0.801 0.867
0.197 0.946 0.500
0.199 0.066 0.266
0.301 0.566 0.867
0.303 0.803 0.749
0.434 0.301 0.734
0.446 0.697 0.500
0.500 0.000 0.500
0.554 0.303 0.500
0.566 0.699 0.266
0.697 0.197 0.251
0.699 0.434 0.133
0.801 0.934 0.734
0.803 0.054 0.500
0.934 0.199 0.133
0.946 0.446 0.749
0.048 0.203 0.500
0.203 0.703 0.155
0.297 0.452 0.500
0.452 0.952 0.155
0.548 0.048 0.845
0.703 0.548 0.500
0.797 0.297 0.845
0.952 0.797 0.500

Entry 5:
BeRe3Ag GGA-PBE relaxed; Fermi-level density of states = 1.75 states/eV/atom; crystal system = cubic; total energy = -5.36 eV/atom; formation energy from the elements = 3.42 eV per atom; space group = No. 221
1.0
4.737 0.000 0.000
0.000 4.737 0.000
0.000 0.000 4.737
Be Re Ag
1 3 1
direct
0.000 0.000 0.000
0.000 0.500 0.500
0.500 0.000 0.500
0.500 0.500 0.000
0.500 0.500 0.500

Entry 6:
Th2Al4OsAu3 GGA-PBE relaxed; Fermi-level density of states = 0.50 states/eV/atom; crystal system = tetragonal; total energy = -5.70 eV/atom; formation energy from the elements = -0.62 eV per atom; space group = No. 115
1.0
4.343 0.000 0.000
0.000 4.343 0.000
0.000 0.000 10.537
Th Al Os Au
2 4 1 3
direct
0.000 0.500 0.237
0.500 0.000 0.763
0.000 0.000 0.500
0.000 0.500 0.872
0.500 0.000 0.128
0.500 0.500 0.500
0.500 0.500 0.000
0.000 0.000 0.000
0.000 0.500 0.633
0.500 0.000 0.367

Entry 7:
Pm2TmMg GGA-PBE relaxed; Fermi-level density of states = 1.29 states/eV/atom; crystal system = tetragonal; total energy = -3.92 eV/atom; formation energy from the elements = -0.03 eV per atom; space group = No. 123
1.0
3.694 0.000 0.000
0.000 3.694 0.000
0.000 0.000 8.978
Pm Tm Mg
2 1 1
direct
0.000 0.000 0.232
0.000 0.000 0.768
0.500 0.500 0.500
0.500 0.500 0.000

Entry 8:
Na3AgPd GGA-PBE relaxed; Fermi-level density of states = 0.06 states/eV/atom; crystal system = cubic; total energy = -2.18 eV/atom; formation energy from the elements = 0.22 eV per atom; space group = No. 221
1.0
5.418 0.000 0.000
0.000 5.418 0.000
0.000 0.000 5.418
Na Ag Pd
3 1 1
direct
0.000 0.000 0.500
0.000 0.500 0.000
0.500 0.000 0.000
0.500 0.500 0.500
0.000 0.000 0.000

Entry 9:
SrLi2AsO4 GGA-PBE relaxed; uncorrected formation energy = -1.893 eV per atom; Fermi-level density of states = 0.28 states/eV/atom; crystal system = tetragonal; total energy = -5.64 eV/atom; space group = No. 121
1.0
-2.709 2.709 3.490
2.709 -2.709 3.490
2.709 2.709 -3.490
Sr Li As O
1 2 1 4
direct
0.000 0.000 0.000
0.250 0.750 0.500
0.750 0.250 0.500
0.500 0.500 0.000
0.145 0.545 0.000
0.455 0.455 0.600
0.545 0.145 0.000
0.855 0.855 0.400

Entry 10:
KRePb GGA-PBE relaxed; Fermi-level density of states = 0.85 states/eV/atom; crystal system = orthorhombic; total energy = -4.68 eV/atom; formation energy from the elements = 1.07 eV per atom; space group = No. 42
1.0
0.000 2.421 8.017
1.871 0.000 8.017
1.871 2.421 0.000
K Re Pb
1 1 1
direct
0.000 0.000 0.000
0.671 0.671 0.329
0.304 0.304 0.696

Entry 11:
K3SbRh GGA-PBE relaxed; uncorrected formation energy = 0.559 eV per atom; Fermi-level density of states = 0.52 states/eV/atom; crystal system = cubic; total energy = -2.39 eV/atom; space group = No. 221
1.0
5.741 0.000 0.000
0.000 5.741 0.000
0.000 0.000 5.741
K Sb Rh
3 1 1
direct
0.000 0.000 0.500
0.000 0.500 0.000
0.500 0.000 0.000
0.500 0.500 0.500
0.000 0.000 0.000

Entry 12:
KZr2MnCo GGA-PBE relaxed; Fermi-level density of states = 1.55 states/eV/atom; crystal system = tetragonal; total energy = -6.03 eV/atom; formation energy from the elements = 0.86 eV per atom; space group = No. 123
1.0
4.968 0.000 0.000
0.000 4.968 0.000
0.000 0.000 4.433
K Zr Mn Co
1 2 1 1
direct
0.000 0.000 0.000
0.000 0.500 0.500
0.500 0.000 0.500
0.500 0.500 0.000
0.500 0.500 0.500

Entry 13:
La2InHgRu GGA-PBE relaxed; Fermi-level density of states = 0.77 states/eV/atom; crystal system = tetragonal; total energy = -4.80 eV/atom; formation energy from the elements = -0.36 eV per atom; space group = No. 123
1.0
5.406 0.000 0.000
0.000 5.406 0.000
0.000 0.000 5.262
La In Hg Ru
2 1 1 1
direct
0.000 0.500 0.000
0.500 0.000 0.000
0.000 0.000 0.500
0.500 0.500 0.500
0.000 0.000 0.000

Entry 14:
SbTeF2 GGA-PBE relaxed; uncorrected formation energy = -1.057 eV per atom; Fermi-level density of states = 0.75 states/eV/atom; crystal system = tetragonal; total energy = -3.81 eV/atom; space group = No. 122
1.0
-2.227 2.227 8.043
2.227 -2.227 8.043
2.227 2.227 -8.043
Sb Te F
2 2 4
direct
0.000 0.000 0.000
0.750 0.250 0.500
0.250 0.750 0.500
0.500 0.500 0.000
0.026 0.625 0.901
0.375 0.276 0.401
0.724 0.125 0.099
0.875 0.974 0.599

Entry 15:
Pr2TlBr GGA-PBE relaxed; uncorrected formation energy = -0.733 eV per atom; Fermi-level density of states = 0.57 states/eV/atom; crystal system = trigonal; total energy = -4.13 eV/atom; space group = No. 166
1.0
1.930 1.114 9.536
-1.930 1.114 9.536
0.000 -2.229 9.536
Pr Tl Br
2 1 1
direct
0.248 0.248 0.248
0.752 0.752 0.752
0.000 0.000 0.000
0.500 0.500 0.500

Entry 16:
BeSbBrF2 GGA-PBE relaxed; uncorrected formation energy = -1.154 eV per atom; Fermi-level density of states = 0.20 states/eV/atom; crystal system = tetragonal; total energy = -3.81 eV/atom; space group = No. 123
1.0
3.866 0.000 0.000
0.000 3.866 0.000
0.000 0.000 5.484
Be Sb Br F
1 1 1 2
direct
0.000 0.000 0.000
0.000 0.000 0.500
0.500 0.500 0.500
0.000 0.500 0.000
0.500 0.000 0.000

Entry 17:
NdIn2Ag GGA-PBE relaxed; Fermi-level density of states = 0.72 states/eV/atom; crystal system = tetragonal; total energy = -3.62 eV/atom; formation energy from the elements = -0.34 eV per atom; space group = No. 123
1.0
4.706 0.000 0.000
0.000 4.706 0.000
0.000 0.000 4.515
Nd In Ag
1 2 1
direct
0.000 0.000 0.000
0.000 0.500 0.500
0.500 0.000 0.500
0.500 0.500 0.000

Entry 18:
Ag2TeS6 GGA-PBE relaxed; uncorrected formation energy = 0.143 eV per atom; Fermi-level density of states = 0.00 states/eV/atom; crystal system = triclinic; total energy = -3.59 eV/atom; space group = No. 2
1.0
4.757 0.000 0.000
2.284 6.983 0.000
0.810 1.246 7.694
Ag Te S
2 1 6
direct
0.057 0.425 0.328
0.943 0.575 0.672
0.500 0.500 0.500
0.188 0.219 0.906
0.404 0.212 0.127
0.479 0.907 0.265
0.521 0.093 0.735
0.596 0.788 0.873
0.812 0.781 0.094

Entry 19:
YIn2Os GGA-PBE relaxed; Fermi-level density of states = 0.65 states/eV/atom; crystal system = orthorhombic; total energy = -5.76 eV/atom; formation energy from the elements = 0.03 eV per atom; space group = No. 71
1.0
-1.672 2.552 5.173
1.672 -2.552 5.173
1.672 2.552 -5.173
Y In Os
1 2 1
direct
0.000 0.000 0.000
0.283 0.783 0.500
0.717 0.217 0.500
0.500 0.500 0.000

Entry 20:
Ac2AgGe3Rh4 GGA-PBE relaxed; Fermi-level density of states = 0.52 states/eV/atom; crystal system = tetragonal; total energy = -6.15 eV/atom; formation energy from the elements = -0.71 eV per atom; space group = No. 115
1.0
4.312 0.000 0.000
0.000 4.312 0.000
0.000 0.000 10.803
Ac Ag Ge Rh
2 1 3 4
direct
0.000 0.500 0.248
0.500 0.000 0.752
0.500 0.500 0.000
0.000 0.000 0.000
0.000 0.500 0.620
0.500 0.000 0.380
0.000 0.000 0.500
0.000 0.500 0.850
0.500 0.000 0.150
0.500 0.500 0.500

Entry 21:
Si2AsRh GGA-PBE relaxed; uncorrected formation energy = 0.206 eV per atom; Fermi-level density of states = 0.37 states/eV/atom; crystal system = orthorhombic; total energy = -5.51 eV/atom; space group = No. 47
1.0
2.807 0.000 0.000
0.000 4.532 0.000
0.000 0.000 4.759
Si As Rh
2 1 1
direct
0.000 0.000 0.000
0.500 0.000 0.500
0.000 0.500 0.500
0.500 0.500 0.000

Entry 22:
TbThTlHg GGA-PBE relaxed; Fermi-level density of states = 1.28 states/eV/atom; crystal system = cubic; total energy = -3.94 eV/atom; formation energy from the elements = -0.26 eV per atom; space group = No. 216
1.0
0.000 3.825 3.825
3.825 0.000 3.825
3.825 3.825 0.000
Tb Th Tl Hg
1 1 1 1
direct
0.000 0.000 0.000
0.500 0.500 0.500
0.250 0.250 0.250
0.750 0.750 0.750

Entry 23:
TbCd3Au4 GGA-PBE relaxed; Fermi-level density of states = 0.22 states/eV/atom; crystal system = orthorhombic; total energy = -2.96 eV/atom; formation energy from the elements = -0.40 eV per atom; space group = No. 51
1.0
9.700 0.000 0.000
0.000 7.012 0.000
0.000 0.000 4.852
Tb Cd Au
2 6 8
direct
0.000 0.000 0.000
0.500 0.000 0.000
0.000 0.500 0.000
0.250 0.000 0.496
0.250 0.500 0.494
0.500 0.500 0.000
0.750 0.000 0.504
0.750 0.500 0.506
0.000 0.258 0.500
0.000 0.742 0.500
0.250 0.258 0.994
0.250 0.742 0.994
0.500 0.258 0.500
0.500 0.742 0.500
0.750 0.258 0.006
0.750 0.742 0.006

Entry 24:
DyThRh GGA-PBE relaxed; Fermi-level density of states = 1.30 states/eV/atom; crystal system = tetragonal; total energy = -6.96 eV/atom; formation energy from the elements = -0.50 eV per atom; space group = No. 107
1.0
-1.811 1.811 5.651
1.811 -1.811 5.651
1.811 1.811 -5.651
Dy Th Rh
1 1 1
direct
0.000 0.000 0.000
0.708 0.708 0.000
0.333 0.333 0.000

Entry 25:
ThSbRu GGA-PBE relaxed; uncorrected formation energy = -0.649 eV per atom; Fermi-level density of states = 1.12 states/eV/atom; crystal system = tetragonal; total energy = -7.59 eV/atom; space group = No. 129
1.0
4.506 0.000 0.000
0.000 4.506 0.000
0.000 0.000 7.050
Th Sb Ru
2 2 2
direct
0.250 0.250 0.206
0.750 0.750 0.794
0.250 0.250 0.733
0.750 0.750 0.267
0.250 0.750 0.500
0.750 0.250 0.500